Ca2Al2FeSi4BHO16: relaxed, GGA+U.

a = 7.2093 Å, b = 9.0769 Å, c = 9.3194 Å
α = 88.45°, β = 77.35°, γ = 81.75°
Last column: nearest neighbours and their distance in Å.
Fractional coordinates of all 54 atoms:
O1 0.6711 0.6416 0.6188  1 B 1.53, 1 Si 1.67
O2 0.3805 0.5034 0.1269  1 Si 1.63
O3 0.6018 0.9131 0.1350  2 Si 1.66-1.67
O4 0.6750 0.3540 0.2538  1 B 1.45
O5 0.0211 0.4351 0.2446  1 Si 1.62
O6 0.7951 0.8219 0.8766  1 Si 1.65
O7 0.6195 0.4966 0.8731  1 Si 1.63
O8 0.7637 0.8621 0.3668  1 Si 1.62
O9 0.1350 0.6306 0.3718  2 Si 1.65-1.66
O10 0.2049 0.1781 0.1234  1 Si 1.65
O11 0.2363 0.1379 0.6332  1 Si 1.62
O12 0.9789 0.5649 0.7554  1 Si 1.62
O13 0.5823 0.3102 0.5116  1 B 1.49, 1 Si 1.67
O14 0.2274 0.9035 0.3391  1 Si 1.61
O15 0.0964 0.6781 0.9936  1 H 0.99
O16 0.2774 0.3845 0.8993  1 Si 1.66
O17 0.3982 0.0869 0.8650  2 Si 1.66-1.67
O18 0.0510 0.8100 0.6040  1 Si 1.64
O19 0.4177 0.6898 0.4884  1 B 1.49, 1 Si 1.67
O20 0.5645 0.2450 0.0163  1 Si 1.62
O21 0.8759 0.0665 0.1562  1 Si 1.64
O22 0.7226 0.6155 0.1007  1 Si 1.66
O23 0.9490 0.1900 0.3960  1 Si 1.64
O24 0.4355 0.7550 0.9837  1 Si 1.62
O25 0.8650 0.3694 0.6282  2 Si 1.65-1.66
O26 0.4677 0.8747 0.6588  1 B 1.51, 1 Si 1.67
O27 0.1241 0.9335 0.8438  1 Si 1.64
O28 0.3289 0.3584 0.3812  1 B 1.53, 1 Si 1.67
O29 0.7726 0.0965 0.6609  1 Si 1.61
O30 0.3250 0.6460 0.7462  1 B 1.45
O31 0.9036 0.3219 0.0064  1 H 0.99
O32 0.5323 0.1253 0.3412  1 B 1.51, 1 Si 1.67
Si1 0.7803 0.5234 0.7250  4 O 1.62-1.67
Si2 0.3026 0.0104 0.7441  4 O 1.62-1.67
Si3 0.2090 0.7658 0.4508  4 O 1.61-1.67
Si4 0.2197 0.4766 0.2750  4 O 1.62-1.67
Si5 0.3580 0.2312 0.9798  4 O 1.62-1.67
Si6 0.6974 0.9896 0.2559  4 O 1.62-1.67
Si7 0.7910 0.2342 0.5492  4 O 1.61-1.67
Si8 0.6420 0.7688 0.0202  4 O 1.62-1.67
Al1 0.0528 0.7454 0.8002  6 O 1.88-2.00
Al2 0.6486 0.4209 0.0639  6 O 1.88-1.98
Al3 0.3514 0.5791 0.9361  6 O 1.88-1.98
Al4 0.9472 0.2546 0.1998  6 O 1.88-2.00
Fe1 0.7670 0.8884 0.5898  4 O 2.03-2.13
Fe2 0.2330 0.1116 0.4102  4 O 2.03-2.13
Ca1 0.1853 0.9186 0.1001  5 O 2.26-2.52
Ca2 0.7483 0.6079 0.3468  5 O 2.34-2.49
Ca3 0.2517 0.3921 0.6532  5 O 2.34-2.49
Ca4 0.8147 0.0814 0.8999  5 O 2.26-2.52
B1 0.5383 0.2881 0.3650  4 O 1.45-1.53
B2 0.4617 0.7119 0.6350  4 O 1.45-1.53
H1 0.9896 0.6247 0.0419  1 O 0.99
H2 0.0104 0.3753 0.9581  1 O 0.99

Properties
- Fermi-level density of states: 0.00 states/eV per cell
- Mass density: 3.22 g/cm³
- Crystal system: triclinic
- Uncorrected energy: -402.76 eV per cell